1.
The following is a SCAN calculation of a PBEsol-optimized structure of CuTeOF2, from Alexandria via LeMat-Bulk.

Output
As for the density of states at the Fermi level: 2.154 states/eV/f.u. The formation energy from raw total energies is -12.7 kcal/mol of atoms. As for the space group: P4/mmm (123).

Lattice parameters (Å, degrees): 4.485 4.485 4.052 90.00 90.00 90.00
Fractional coordinates of all 5 atoms:
Cu: 0.000 0.000 0.000
Te: 0.500 0.500 0.500
O: 0.500 0.500 0.000
F: 0.000 0.500 0.500
F: 0.500 0.000 0.500

2.
The following is a SCAN calculation of a PBEsol-optimized structure of V4Cu13O26F4, from Alexandria via LeMat-Bulk.

Output
As for the density of states at the Fermi level: 8.917 states/eV/f.u. The formation energy from raw total energies is -29.4 kcal/mol of atoms. As for the space group: P-1 (2).

Lattice parameters (Å, degrees): 5.539 10.302 10.816 107.77 103.14 98.01
Fractional coordinates of all 47 atoms:
V: 0.003 0.299 0.154
V: 0.237 0.688 0.339
V: 0.763 0.312 0.661
V: 0.997 0.701 0.846
Cu: 0.000 0.000 0.500
Cu: 0.000 0.500 0.500
Cu: 0.133 0.980 0.783
Cu: 0.243 0.495 0.997
Cu: 0.296 0.011 0.081
Cu: 0.379 0.506 0.754
Cu: 0.451 0.969 0.319
Cu: 0.500 0.500 0.500
Cu: 0.549 0.031 0.681
Cu: 0.621 0.494 0.246
Cu: 0.704 0.989 0.919
Cu: 0.757 0.505 0.003
Cu: 0.867 0.020 0.217
O: 0.014 0.611 0.965
O: 0.058 0.361 0.761
O: 0.068 0.892 0.909
O: 0.143 0.943 0.193
O: 0.183 0.641 0.747
O: 0.227 0.068 0.666
O: 0.260 0.608 0.468
O: 0.263 0.427 0.568
O: 0.293 0.349 0.256
O: 0.322 0.871 0.413
O: 0.421 0.628 0.239
O: 0.428 0.918 0.764
O: 0.490 0.580 0.942
O: 0.510 0.420 0.058
O: 0.572 0.082 0.236
O: 0.579 0.372 0.761
O: 0.678 0.129 0.587
O: 0.707 0.651 0.744
O: 0.737 0.573 0.432
O: 0.740 0.392 0.532
O: 0.773 0.932 0.334
O: 0.817 0.359 0.253
O: 0.857 0.057 0.807
O: 0.932 0.108 0.091
O: 0.942 0.639 0.239
O: 0.986 0.389 0.035
F: 0.146 0.135 0.450
F: 0.423 0.123 0.996
F: 0.577 0.877 0.004
F: 0.854 0.865 0.550

3.
The following is a SCAN calculation of a PBEsol-optimized structure of CuOs3F, from Alexandria via LeMat-Bulk.

Output
As for the density of states at the Fermi level: 7.161 states/eV/f.u. The formation energy from raw total energies is 57.7 kcal/mol of atoms. As for the space group: Pm-3m (221). For the energy relative to the lowest polymorph listed for this composition, the calculation gives 544 meV/atom.

Lattice parameters (Å, degrees): 4.443 4.443 4.443 90.00 90.00 90.00
Fractional coordinates of all 5 atoms:
Cu: 0.000 0.000 0.000
Os: 0.000 0.000 0.500
Os: 0.000 0.500 0.000
Os: 0.500 0.000 0.000
F: 0.500 0.500 0.500

Question: What is the formula in the first record?
Answer: CuTeOF2